The following is a PBE calculation of La2Al3Zn4Sn after structural relaxation, from Alexandria via LeMat-Bulk.

The structure in POSCAR format:
```
La2Al3Zn4Sn
1.0
4.4163 0.0000 0.0000
0.0000 4.4163 0.0000
0.0000 0.0000 10.7952
La Al Zn Sn
2 3 4 1
Direct
0.0000 0.5000 0.2392
0.5000 0.0000 0.7608
0.0000 0.5000 0.8764
0.5000 0.0000 0.1236
0.5000 0.5000 0.5000
0.0000 0.0000 0.0000
0.0000 0.5000 0.6471
0.5000 0.0000 0.3529
0.5000 0.5000 0.0000
0.0000 0.0000 0.5000
```

SG = P-4m2
E_tot = -34.42 eV per formula unit
Crystal system = tetragonal